No. 1
Material: Sc4TaTe
Method: DFT, PBE
State: optimized geometry

Formation energy (no corrections) ... 333 meV per atom
E ... -38.3 eV per cell

Lattice parameters (Å, degrees): 5.7761 5.7761 5.7761 60.00 60.00 60.00
Last column: nearest neighbours and their distance in Å.
Fractional positions:
Ta  0.7500  0.7500  0.7500  12 Sc 3.38, 4 Te 3.54
Te  0.0000  0.0000  0.0000  12 Sc 3.39, 4 Ta 3.54
Sc  0.3776  0.3776  0.3776  6 Sc 2.83-2.95
Sc  0.3776  0.3776  0.8673  6 Sc 2.83-2.95
Sc  0.8673  0.3776  0.3776  6 Sc 2.83-2.95
Sc  0.3776  0.8673  0.3776  6 Sc 2.83-2.95

***

No. 2
Material: CaTcW
Method: DFT, PBE
State: optimized geometry

Calculated formation energy ... 0.813 eV/atom
E ... -22.9 eV per cell

Lattice parameters (Å, degrees): 5.0127 5.0127 5.0127 149.00 119.27 69.75
Last column: nearest neighbours and their distance in Å.
Fractional positions:
Ca  0.0016  0.0016  0.0000  2 Ca 2.68, 1 Tc 2.85, 1 W 2.89
W  0.6508  0.6508  0.0000  1 Tc 2.49, 2 W 2.68
Tc  0.3476  0.3476  0.0000  1 W 2.49, 2 Tc 2.68

***

No. 3
Material: K2Ag6Sn3S10
Method: DFT, PBE
State: optimized geometry

Formation energy (no corrections) ... -426 meV per atom
E ... -326.1 eV per cell

Lattice parameters (Å, degrees): 6.4119 13.4501 24.8108 90.00 90.00 90.00
Last column: nearest neighbours and their distance in Å.
Fractional positions:
S  0.2405  0.1702  0.0687  1 Sn 2.43, 3 Ag 2.51-2.69
S  0.3372  0.0363  0.8782  1 Sn 2.43, 2 Ag 2.48-2.59
S  0.2595  0.6702  0.4313  1 Sn 2.43, 3 Ag 2.51-2.69
S  0.9084  0.7300  0.3038  1 Sn 2.36, 1 Ag 2.50
S  0.3153  0.4970  0.2889  2 Sn 2.48
Ag  0.4148  0.5819  0.0419  3 S 2.51-2.60
S  0.5916  0.2300  0.1962  1 Sn 2.36, 1 Ag 2.50
S  0.8011  0.3774  0.0396  1 Sn 2.46, 3 Ag 2.49-2.67
K  0.0781  0.2808  0.1795  6 S 3.16-3.45
S  0.8153  0.0030  0.7889  2 Sn 2.48
S  0.2405  0.3298  0.9313  1 Sn 2.43, 3 Ag 2.51-2.69
K  0.9219  0.7808  0.1795  6 S 3.16-3.45
Ag  0.0852  0.0819  0.4581  3 S 2.51-2.60
Ag  0.5851  0.0819  0.0419  3 S 2.51-2.60
S  0.3011  0.1226  0.5396  1 Sn 2.46, 3 Ag 2.49-2.67
S  0.3011  0.3774  0.4604  1 Sn 2.46, 3 Ag 2.49-2.67
S  0.9084  0.7700  0.6962  1 Sn 2.36, 1 Ag 2.50
Ag  0.9936  0.5265  0.0904  3 S 2.48-2.67
Ag  0.4148  0.9181  0.9581  3 S 2.51-2.60
K  0.0781  0.2192  0.8205  6 S 3.16-3.45
S  0.1847  0.9970  0.2111  2 Sn 2.48
Sn  0.4717  0.7500  0.5000  4 S 2.43-2.46
Ag  0.0064  0.4735  0.9096  3 S 2.48-2.67
S  0.8372  0.0363  0.6218  1 Sn 2.43, 2 Ag 2.48-2.59
Ag  0.9428  0.7124  0.6006  3 S 2.49-2.69
Ag  0.5064  0.4735  0.5904  3 S 2.48-2.67
K  0.4219  0.7192  0.6795  6 S 3.16-3.45
S  0.4084  0.7700  0.8038  1 Sn 2.36, 1 Ag 2.50
Ag  0.4936  0.5265  0.4096  3 S 2.48-2.67
S  0.6989  0.8774  0.4604  1 Sn 2.46, 3 Ag 2.49-2.67
S  0.8153  0.4970  0.2111  2 Sn 2.48
Ag  0.0064  0.0265  0.0904  3 S 2.48-2.67
S  0.1847  0.5030  0.7889  2 Sn 2.48
Sn  0.4510  0.9444  0.7991  4 S 2.36-2.48
S  0.3372  0.4637  0.1218  1 Sn 2.43, 2 Ag 2.48-2.59
S  0.3153  0.0030  0.7111  2 Sn 2.48
Ag  0.5572  0.2876  0.1006  3 S 2.49-2.69
Ag  0.9148  0.5819  0.4581  3 S 2.51-2.60
K  0.5781  0.2192  0.6795  6 S 3.16-3.45
Sn  0.0490  0.0556  0.2991  4 S 2.36-2.48
S  0.0916  0.2700  0.6962  1 Sn 2.36, 1 Ag 2.50
S  0.6847  0.5030  0.7111  2 Sn 2.48
Ag  0.5851  0.4181  0.9581  3 S 2.51-2.60
S  0.7595  0.8298  0.9313  1 Sn 2.43, 3 Ag 2.51-2.69
Ag  0.0572  0.2876  0.3994  3 S 2.49-2.69
S  0.6628  0.5363  0.8782  1 Sn 2.43, 2 Ag 2.48-2.59
S  0.1628  0.9637  0.3782  1 Sn 2.43, 2 Ag 2.48-2.59
S  0.7405  0.3298  0.5687  1 Sn 2.43, 3 Ag 2.51-2.69
S  0.4084  0.7300  0.1962  1 Sn 2.36, 1 Ag 2.50
S  0.1628  0.5363  0.6218  1 Sn 2.43, 2 Ag 2.48-2.59
Ag  0.9148  0.9181  0.5419  3 S 2.51-2.60
Ag  0.0852  0.4181  0.5419  3 S 2.51-2.60
Sn  0.0283  0.2500  0.0000  4 S 2.43-2.46
Ag  0.4428  0.7124  0.8994  3 S 2.49-2.69
Ag  0.4428  0.7876  0.1006  3 S 2.49-2.69
K  0.5781  0.2808  0.3205  6 S 3.16-3.45
Ag  0.5064  0.0265  0.4096  3 S 2.48-2.67
S  0.6989  0.6226  0.5396  1 Sn 2.46, 3 Ag 2.49-2.67
Sn  0.9717  0.7500  0.0000  4 S 2.43-2.46
Sn  0.0490  0.4444  0.7009  4 S 2.36-2.48
Sn  0.9510  0.9444  0.7009  4 S 2.36-2.48
S  0.5916  0.2700  0.8038  1 Sn 2.36, 1 Ag 2.50
K  0.4219  0.7808  0.3205  6 S 3.16-3.45
Sn  0.5490  0.0556  0.2009  4 S 2.36-2.48
S  0.1989  0.6226  0.9604  1 Sn 2.46, 3 Ag 2.49-2.67
S  0.1989  0.8774  0.0396  1 Sn 2.46, 3 Ag 2.49-2.67
Ag  0.4936  0.9735  0.5904  3 S 2.48-2.67
Sn  0.4510  0.5556  0.2009  4 S 2.36-2.48
Ag  0.9936  0.9735  0.9096  3 S 2.48-2.67
Ag  0.0572  0.2124  0.6006  3 S 2.49-2.69
Ag  0.5572  0.2124  0.8994  3 S 2.49-2.69
Sn  0.9510  0.5556  0.2991  4 S 2.36-2.48
S  0.8372  0.4637  0.3782  1 Sn 2.43, 2 Ag 2.48-2.59
S  0.6847  0.9970  0.2889  2 Sn 2.48
S  0.6628  0.9637  0.1218  1 Sn 2.43, 2 Ag 2.48-2.59
S  0.0916  0.2300  0.3038  1 Sn 2.36, 1 Ag 2.50
K  0.9219  0.7192  0.8205  6 S 3.16-3.45
Sn  0.5490  0.4444  0.7991  4 S 2.36-2.48
S  0.7405  0.1702  0.4313  1 Sn 2.43, 3 Ag 2.51-2.69
S  0.2595  0.8298  0.5687  1 Sn 2.43, 3 Ag 2.51-2.69
S  0.7595  0.6702  0.0687  1 Sn 2.43, 3 Ag 2.51-2.69
S  0.8011  0.1226  0.9604  1 Sn 2.46, 3 Ag 2.49-2.67
Sn  0.5283  0.2500  0.5000  4 S 2.43-2.46
Ag  0.9428  0.7876  0.3994  3 S 2.49-2.69

***

No. 4
Material: InHgPt
Method: DFT, PBE
State: optimized geometry

Calculated formation energy ... 0.002 eV/atom
E ... -9.1 eV per cell

Lattice parameters (Å, degrees): 4.7135 4.7135 3.2025 90.00 90.00 120.00
Last column: nearest neighbours and their distance in Å.
Fractional positions:
In  0.3333  0.6667  0.4393  3 Pt 2.77
Hg  0.0000  0.0000  0.9581  3 Pt 2.95, 6 In 3.13-3.19, 2 Hg 3.20
Pt  0.6667  0.3333  0.6027  3 In 2.77, 3 Hg 2.95

***

No. 5
Material: LaPr5Tm3
Method: DFT, PBE
State: optimized geometry

Calculated formation energy ... 0.267 eV/atom
E ... -79.7 eV per cell

Lattice parameters (Å, degrees): 8.6556 8.6556 10.3381 114.75 114.75 90.00
Last column: nearest neighbours and their distance in Å.
Fractional positions:
Pr  0.8343  0.9434  0.2777  1 La 3.03, 1 Tm 3.21
Pr  0.5566  0.6657  0.7223  1 La 3.03, 1 Tm 3.21
Pr  0.9434  0.4434  0.2777  1 La 3.03, 1 Tm 3.21
Pr  0.0566  0.5566  0.7223  1 La 3.03, 1 Tm 3.21
La  0.2500  0.7500  0.5000  4 Pr 3.03
Tm  0.7500  0.7500  0.5000  8 Pr 3.64
Pr  0.1657  0.0566  0.7223  1 La 3.03, 1 Tm 3.21
Pr  0.4434  0.3343  0.2777  1 La 3.03, 1 Tm 3.21
Pr  0.5000  0.5000  0.0000  4 Tm 3.43
Pr  0.6657  0.1657  0.7223  1 La 3.03, 1 Tm 3.21
Tm  0.6233  0.1233  0.0000  1 Tm 3.02, 2 Pr 3.21
Pr  0.0000  0.0000  0.0000  4 Tm 3.43
La  0.7500  0.2500  0.5000  4 Pr 3.03
Tm  0.2500  0.2500  0.5000  8 Pr 3.64
Tm  0.3767  0.8767  0.0000  1 Tm 3.02, 2 Pr 3.21
Pr  0.3343  0.8343  0.2777  1 La 3.03, 1 Tm 3.21
Tm  0.8767  0.6233  0.0000  1 Tm 3.02, 2 Pr 3.21
Tm  0.1233  0.3767  0.0000  1 Tm 3.02, 2 Pr 3.21

***

No. 6
Material: KLaSe2O8
Method: DFT, PBE
State: optimized geometry

Formation energy (no corrections) ... -1574 meV per atom
E ... -286.2 eV per cell

Lattice parameters (Å, degrees): 7.5480 9.0206 11.3357 88.17 90.00 90.00
Last column: nearest neighbours and their distance in Å.
Fractional positions:
O  0.0187  0.5909  0.1374  1 Se 1.64
O  0.2476  0.6949  0.4591  1 Se 1.68
O  0.6850  0.2498  0.8076  1 Se 1.68
O  0.2524  0.6949  0.9591  1 Se 1.68
O  0.0514  0.8830  0.0571  1 Se 1.71
O  0.1453  0.3707  0.6018  1 Se 1.64
O  0.8293  0.8767  0.5279  1 Se 1.67
La  0.1664  0.9430  0.8488  9 O 2.50-2.77
O  0.4813  0.5909  0.6374  1 Se 1.64
La  0.6664  0.0570  0.6512  9 O 2.50-2.77
K  0.6450  0.5629  0.1563  7 O 2.81-3.15
O  0.1850  0.7502  0.6924  1 Se 1.68
O  0.3293  0.1233  0.9721  1 Se 1.67
O  0.6707  0.8767  0.0279  1 Se 1.67
K  0.3550  0.4371  0.8437  7 O 2.81-3.15
La  0.8336  0.0570  0.1512  9 O 2.50-2.77
O  0.3547  0.3707  0.1018  1 Se 1.64
K  0.8550  0.5629  0.6563  7 O 2.81-3.15
O  0.3402  0.1379  0.6939  1 Se 1.70
Se  0.8355  0.8105  0.3924  4 O 1.64-1.70
Se  0.1571  0.7200  0.0911  4 O 1.64-1.71
O  0.4991  0.1003  0.1854  1 Se 1.70
O  0.6598  0.8621  0.3061  1 Se 1.70
La  0.3336  0.9430  0.3488  9 O 2.50-2.77
O  0.1707  0.1233  0.4721  1 Se 1.67
O  0.5187  0.4091  0.3626  1 Se 1.64
Se  0.3355  0.1895  0.1076  4 O 1.64-1.70
K  0.1450  0.4371  0.3437  7 O 2.81-3.15
O  0.5009  0.8997  0.8146  1 Se 1.70
O  0.7476  0.3051  0.0409  1 Se 1.68
Se  0.8429  0.2800  0.9089  4 O 1.64-1.71
O  0.8547  0.6293  0.3982  1 Se 1.64
O  0.6453  0.6293  0.8982  1 Se 1.64
O  0.8150  0.2498  0.3076  1 Se 1.68
O  0.1598  0.1379  0.1939  1 Se 1.70
O  0.8402  0.8621  0.8061  1 Se 1.70
Se  0.3429  0.7200  0.5911  4 O 1.64-1.71
O  0.4486  0.8830  0.5571  1 Se 1.71
O  0.5514  0.1170  0.4429  1 Se 1.71
Se  0.1645  0.1895  0.6076  4 O 1.64-1.70
O  0.9486  0.1170  0.9429  1 Se 1.71
Se  0.6645  0.8105  0.8924  4 O 1.64-1.70
O  0.3150  0.7502  0.1924  1 Se 1.68
O  0.9813  0.4091  0.8626  1 Se 1.64
O  0.0009  0.1003  0.6854  1 Se 1.70
Se  0.6571  0.2800  0.4089  4 O 1.64-1.71
O  0.7524  0.3051  0.5409  1 Se 1.68
O  0.9991  0.8997  0.3146  1 Se 1.70

***

No. 7
Material: BeNiPd3
Method: DFT, PBE
State: optimized geometry

Calculated formation energy ... 1.022 eV/atom
E ... -20.0 eV per cell

Lattice parameters (Å, degrees): 4.5236 4.5236 4.5236 90.00 90.00 90.00
Last column: nearest neighbours and their distance in Å.
Fractional positions:
Pd  0.0000  0.5000  0.0000  2 Ni 2.26
Be  0.5000  0.5000  0.5000  12 Pd 3.20
Pd  0.0000  0.0000  0.5000  2 Ni 2.26
Ni  0.0000  0.0000  0.0000  6 Pd 2.26
Pd  0.5000  0.0000  0.0000  2 Ni 2.26

***

No. 8
Material: Ba4LiAc3Se8
Method: DFT, PBE
State: optimized geometry

Formation energy (no corrections) ... -1900 meV per atom
E ... -80.2 eV per cell

Lattice parameters (Å, degrees): 9.0907 9.1619 9.0907 119.74 120.00 90.00
Last column: nearest neighbours and their distance in Å.
Fractional positions:
Se  0.2427  0.7302  0.9875  1 Li 3.13, 2 Ac 3.15, 3 Ba 3.31-3.32
Ac  0.5000  0.5000  0.5000  6 Se 3.15-3.16
Ba  0.5000  0.0000  0.5000  6 Se 3.30-3.31
Li  0.0000  0.5000  0.0000  6 Se 3.13
Se  0.7448  0.7345  0.4897  3 Ac 3.16, 3 Ba 3.30
Ba  0.0000  0.0000  0.0000  6 Se 3.30-3.31
Se  0.2552  0.2655  0.5103  3 Ac 3.16, 3 Ba 3.30
Ba  0.5000  0.0000  0.0000  6 Se 3.32
Se  0.7573  0.2698  0.5145  1 Li 3.13, 2 Ac 3.15, 3 Ba 3.31-3.32
Se  0.2427  0.7302  0.4855  1 Li 3.13, 2 Ac 3.15, 3 Ba 3.31-3.32
Se  0.7448  0.7302  0.9875  1 Li 3.13, 2 Ac 3.15, 3 Ba 3.31-3.32
Ba  0.0000  0.0000  0.5000  6 Se 3.30-3.31
Se  0.7573  0.2698  0.0125  1 Li 3.13, 2 Ac 3.15, 3 Ba 3.31-3.32
Ac  0.0000  0.5000  0.5000  6 Se 3.15-3.16
Se  0.2552  0.2698  0.0125  1 Li 3.13, 2 Ac 3.15, 3 Ba 3.31-3.32
Ac  0.5000  0.5000  0.0000  6 Se 3.15-3.16

***

No. 9
Material: AgAsRu4
Method: DFT, PBE
State: optimized geometry

Calculated formation energy ... 0.722 eV/atom
E ... -40.3 eV per cell

Lattice parameters (Å, degrees): 5.1729 5.1729 5.1729 60.00 60.00 60.00
Last column: nearest neighbours and their distance in Å.
Fractional positions:
Ru  0.1246  0.6251  0.6251  6 Ru 2.58-2.59
As  0.0000  0.0000  0.0000  12 Ru 3.03, 4 Ag 3.17
Ru  0.6251  0.6251  0.6251  6 Ru 2.58-2.59
Ru  0.6251  0.6251  0.1246  6 Ru 2.58-2.59
Ag  0.2500  0.2500  0.2500  12 Ru 3.03, 4 As 3.17
Ru  0.6251  0.1246  0.6251  6 Ru 2.58-2.59

***

No. 10
Material: SmY2Mg
Method: DFT, PBE
State: optimized geometry

Calculated formation energy ... 0.042 eV/atom
E ... -19.1 eV per cell

Lattice parameters (Å, degrees): 3.5520 3.5520 11.5441 81.02 81.02 59.80
Last column: nearest neighbours and their distance in Å.
Fractional positions:
Y  0.0869  0.0869  0.7427  3 Mg 3.42-3.44, 6 Y 3.54-3.55, 3 Sm 3.56
Sm  0.6678  0.6678  0.9994  6 Sm 3.54-3.55, 6 Y 3.56-3.58
Mg  0.4979  0.4979  0.4999  6 Y 3.42-3.44, 6 Mg 3.54-3.55
Y  0.2473  0.2473  0.2580  3 Mg 3.43, 6 Y 3.54-3.55, 3 Sm 3.58

***

No. 11
Material: Rb8NaAu6
Method: DFT, PBE
State: optimized geometry

Calculated formation energy ... -0.216 eV/atom
E ... -32.0 eV per cell

Lattice parameters (Å, degrees): 9.2156 9.2156 9.2156 65.83 65.83 65.83
Last column: nearest neighbours and their distance in Å.
Fractional positions:
Au  0.2577  0.9459  0.6306  1 Na 3.36, 7 Rb 3.44-3.69
Rb  0.5555  0.8923  0.2273  5 Au 3.44-3.69
Rb  0.8923  0.2273  0.5555  5 Au 3.44-3.69
Au  0.9459  0.6306  0.2577  1 Na 3.36, 7 Rb 3.44-3.69
Na  0.0000  0.0000  0.0000  6 Au 3.36
Rb  0.2273  0.5555  0.8923  5 Au 3.44-3.69
Au  0.7423  0.0541  0.3694  1 Na 3.36, 7 Rb 3.44-3.69
Au  0.0541  0.3694  0.7423  1 Na 3.36, 7 Rb 3.44-3.69
Au  0.3694  0.7423  0.0541  1 Na 3.36, 7 Rb 3.44-3.69
Rb  0.1077  0.7727  0.4445  5 Au 3.44-3.69
Rb  0.3348  0.3348  0.3348  6 Au 3.64, 6 Rb 4.05-4.08
Rb  0.4445  0.1077  0.7727  5 Au 3.44-3.69
Rb  0.6652  0.6652  0.6652  6 Au 3.64, 6 Rb 4.05-4.08
Au  0.6306  0.2577  0.9459  1 Na 3.36, 7 Rb 3.44-3.69
Rb  0.7727  0.4445  0.1077  5 Au 3.44-3.69

***

No. 12
Material: ScTa2W
Method: DFT, PBE
State: optimized geometry

Calculated formation energy ... 0.141 eV/atom
E ... -42.4 eV per cell

Lattice parameters (Å, degrees): 4.6863 2.8356 5.5949 79.68 90.00 90.00
Last column: nearest neighbours and their distance in Å.
Fractional positions:
W  0.0000  0.4843  0.4906  4 Ta 2.79-2.95, 2 W 2.84, 2 Sc 2.88
Sc  0.5000  0.7198  0.7457  2 Sc 2.84, 2 W 2.88, 4 Ta 2.90-2.96
Ta  0.0000  0.0165  0.0055  4 Ta 2.84-2.90, 2 W 2.86-2.95, 2 Sc 2.96
Ta  0.5000  0.2794  0.2582  2 W 2.79, 4 Ta 2.84-2.90, 2 Sc 2.90-2.92